No. 1
An optimized crystal structure of NaPm2Rh. Source: Alexandria, functional PBE.

Unit cell a=4.1069 b=4.1069 c=27.4879 alpha=90.00 beta=90.00 gamma=120.00
Space group R3m (No. 160, hexagonal axes)
Symmetry-distinct sites (fractional):
Na 0.0000 0.0000 0.0000 x3
Pm 0.0000 0.0000 0.2222 x3
Pm 0.0000 0.0000 0.4461 x3
Rh 0.0000 0.0000 0.8343 x3

Values from the calculation:
The total magnetization comes out at 0.0 Bohr magnetons per cell. The calculation puts the electronic total energy at -58.5 eV for the cell shown.


No. 2
An optimized crystal structure of NaPmRh2. Source: Alexandria, functional PBE.

Unit cell a=4.4323 b=4.4323 c=3.8755 alpha=90.00 beta=90.00 gamma=90.00
Space group P4/mmm (No. 123)
Symmetry-distinct sites (fractional):
Na 0.0000 0.0000 0.0000 x1
Pm 0.5000 0.5000 0.0000 x1
Rh 0.0000 0.5000 0.5000 x2

Values from the calculation:
The total magnetization comes out at 0.0 Bohr magnetons per cell. The calculation puts the electronic total energy at -21.4 eV for the cell shown.